VASP calculation (PBE) on an optimized crystal structure of Rb2Na5Hg3.

Values from the calculation:
Symmetry: C2/c (15)
Volume (Å³ per cell): 730.4
DFT total energy (eV per atom): -1.073
Formation enthalpy at 0 K (meV per atom): -130
Size of the total moment (μB per cell): 0.0

Cell lengths 10.4731, 10.4731, 6.9115 Å; angles 98.34, 98.34, 98.76 degrees
With the nearest neighbours (Å) after each atom.
Positions (direct):
Rb (0.0932, 0.6739, 0.9486)  3 Hg 3.66-3.79, 5 Na 3.80-4.06, 1 Rb 4.07
Rb (0.3261, 0.9068, 0.5514)  3 Hg 3.66-3.79, 5 Na 3.80-4.06, 1 Rb 4.07
Rb (0.6739, 0.0932, 0.4486)  3 Hg 3.66-3.79, 5 Na 3.80-4.06, 1 Rb 4.07
Rb (0.9068, 0.3261, 0.0514)  3 Hg 3.66-3.79, 5 Na 3.80-4.06, 1 Rb 4.07
Na (0.0001, 0.9999, 0.2500)  4 Hg 3.36-3.41, 2 Na 3.46
Na (0.9999, 0.0001, 0.7500)  4 Hg 3.36-3.41, 2 Na 3.46
Na (0.2240, 0.5364, 0.4761)  1 Na 3.24, 4 Hg 3.31-3.50
Na (0.2574, 0.3233, 0.9155)  4 Hg 3.15-3.49, 1 Na 3.24
Na (0.3233, 0.2574, 0.4155)  4 Hg 3.15-3.49, 1 Na 3.24
Na (0.4636, 0.7760, 0.0239)  1 Na 3.24, 4 Hg 3.31-3.50
Na (0.5364, 0.2240, 0.9761)  1 Na 3.24, 4 Hg 3.31-3.50
Na (0.6767, 0.7426, 0.5845)  4 Hg 3.15-3.49, 1 Na 3.24
Na (0.7426, 0.6767, 0.0845)  4 Hg 3.15-3.49, 1 Na 3.24
Na (0.7760, 0.4636, 0.5239)  1 Na 3.24, 4 Hg 3.31-3.50
Hg (0.0214, 0.2835, 0.5599)  6 Na 3.15-3.49
Hg (0.2835, 0.0214, 0.0599)  6 Na 3.15-3.49
Hg (0.4853, 0.5147, 0.2500)  8 Na 3.26-3.50, 2 Hg 3.49
Hg (0.5147, 0.4853, 0.7500)  8 Na 3.26-3.50, 2 Hg 3.49
Hg (0.7165, 0.9786, 0.9401)  6 Na 3.15-3.49
Hg (0.9786, 0.7165, 0.4401)  6 Na 3.15-3.49

VASP calculation (PBE) on an optimized crystal structure of RbNaHg.

Values from the calculation:
Symmetry: P-6m2 (187)
Offset from the most stable computed form (meV per atom): 33
Volume (Å³ per cell): 129.6
DFT total energy (eV per atom): -0.999
Formation enthalpy at 0 K (meV per atom): -136
Size of the total moment (μB per cell): 0.0

Cell lengths 5.4984, 5.4984, 4.9503 Å; angles 90.00, 90.00, 120.00 degrees
With the nearest neighbours (Å) after each atom.
Positions (direct):
Rb (0.0000, 0.0000, 0.0000)  6 Na 4.03, 6 Hg 4.03
Na (0.3333, 0.6667, 0.5000)  3 Hg 3.17
Hg (0.6667, 0.3333, 0.5000)  3 Na 3.17

VASP calculation (PBE) on an optimized crystal structure of Rb3Na2Hg4.

Values from the calculation:
Symmetry: C2/m (12)
Volume (Å³ per cell): 366.5
DFT total energy (eV per atom): -0.957
Formation enthalpy at 0 K (meV per atom): -207
Size of the total moment (μB per cell): 0.0

Cell lengths 7.0929, 7.0929, 10.6905 Å; angles 99.18, 99.18, 43.77 degrees
With the nearest neighbours (Å) after each atom.
Positions (direct):
Rb (0.0000, 0.0000, 0.0000)  6 Hg 3.74-4.04
Rb (0.3736, 0.3736, 0.6218)  6 Hg 3.72-3.88, 1 Na 4.05
Rb (0.6264, 0.6264, 0.3782)  6 Hg 3.72-3.88, 1 Na 4.05
Na (0.3237, 0.3237, 0.2207)  5 Hg 3.16-3.23
Na (0.6763, 0.6763, 0.7793)  5 Hg 3.16-3.23
Hg (0.0821, 0.0821, 0.6294)  1 Hg 3.21, 2 Na 3.23
Hg (0.2660, 0.2660, 0.9213)  3 Na 3.16-3.17, 2 Hg 3.20
Hg (0.7340, 0.7340, 0.0787)  3 Na 3.16-3.17, 2 Hg 3.20
Hg (0.9179, 0.9179, 0.3706)  1 Hg 3.21, 2 Na 3.23

VASP calculation (PBE) on an optimized crystal structure of Rb4Na2Hg.

Values from the calculation:
Symmetry: I4/mmm (139)
Offset from the most stable computed form (meV per atom): 73
Volume (Å³ per cell): 494.0
DFT total energy (eV per atom): -0.945
Formation enthalpy at 0 K (meV per atom): 28
Size of the total moment (μB per cell): 0.0

Cell lengths 11.2343, 11.2343, 11.2343 Å; angles 143.70, 143.70, 52.27 degrees
With the nearest neighbours (Å) after each atom.
Positions (direct):
Rb (0.0000, 0.5000, 0.5000)  2 Hg 3.50
Rb (0.1855, 0.1855, 0.0000)  1 Hg 3.74, 1 Na 4.05
Rb (0.5000, 0.0000, 0.5000)  2 Hg 3.50
Rb (0.8145, 0.8145, 0.0000)  1 Hg 3.74, 1 Na 4.05
Na (0.3864, 0.3864, 0.0000)  5 Rb 4.05-4.18
Na (0.6136, 0.6136, 0.0000)  5 Rb 4.05-4.18
Hg (0.0000, 0.0000, 0.0000)  6 Rb 3.50-3.74

VASP calculation (PBE) on an optimized crystal structure of Rb5Na5Hg2.

Values from the calculation:
Symmetry: C2/m (12)
Volume (Å³ per cell): 605.8
DFT total energy (eV per atom): -1.058
Formation enthalpy at 0 K (meV per atom): -55
Size of the total moment (μB per cell): 0.0

Cell lengths 10.5259, 10.5259, 13.2303 Å; angles 128.11, 128.11, 32.66 degrees
With the nearest neighbours (Å) after each atom.
Positions (direct):
Rb (0.0000, 0.0000, 0.0000)  6 Na 3.83-3.84, 4 Hg 3.85
Rb (0.1368, 0.1368, 0.8425)  1 Hg 3.77, 1 Na 4.09
Rb (0.1706, 0.1706, 0.5174)  5 Na 3.93-4.38, 1 Hg 4.00
Rb (0.8294, 0.8294, 0.4826)  5 Na 3.93-4.38, 1 Hg 4.00
Rb (0.8632, 0.8632, 0.1575)  1 Hg 3.77, 1 Na 4.09
Na (0.2477, 0.2477, 0.2324)  2 Hg 3.38
Na (0.4534, 0.4534, 0.7774)  2 Hg 3.43-3.53
Na (0.5000, 0.5000, 0.5000)  4 Na 3.91-4.33
Na (0.5466, 0.5466, 0.2226)  2 Hg 3.43-3.53
Na (0.7523, 0.7523, 0.7676)  2 Hg 3.38
Hg (0.3490, 0.3490, 0.9117)  4 Na 3.38-3.53, 1 Rb 3.77
Hg (0.6510, 0.6510, 0.0883)  4 Na 3.38-3.53, 1 Rb 3.77

VASP calculation (PBE) on an optimized crystal structure of Rb2NaHg5.

Values from the calculation:
Symmetry: Cm (8)
Volume (Å³ per cell): 294.0
DFT total energy (eV per atom): -0.802
Formation enthalpy at 0 K (meV per atom): -207
Size of the total moment (μB per cell): 0.0

Cell lengths 7.0684, 7.0684, 9.1257 Å; angles 123.24, 123.24, 55.12 degrees
With the nearest neighbours (Å) after each atom.
Positions (direct):
Rb (0.0000, 0.0000, 0.0000)  8 Hg 3.70-4.14
Rb (0.1733, 0.1733, 0.6933)  8 Hg 3.74-3.87, 2 Na 3.85
Na (0.5773, 0.5773, 0.4138)  4 Hg 3.09-3.17
Hg (0.0598, 0.5746, 0.1541)  4 Hg 3.05-3.37, 1 Na 3.09
Hg (0.0742, 0.5807, 0.4970)  4 Hg 3.05-3.31, 1 Na 3.17
Hg (0.5746, 0.0598, 0.1541)  4 Hg 3.05-3.37, 1 Na 3.09
Hg (0.5807, 0.0742, 0.4970)  4 Hg 3.05-3.31, 1 Na 3.17
Hg (0.5837, 0.5837, 0.8031)  4 Hg 3.12-3.13

VASP calculation (PBE) on an optimized crystal structure of RbNaHg6.

Values from the calculation:
Symmetry: Amm2 (38)
Offset from the most stable computed form (meV per atom): 0
Volume (Å³ per cell): 244.8
DFT total energy (eV per atom): -0.695
Formation enthalpy at 0 K (meV per atom): -183
Size of the total moment (μB per cell): 0.0

Cell lengths 5.2761, 7.3115, 7.3115 Å; angles 60.21, 90.00, 90.00 degrees
With the nearest neighbours (Å) after each atom.
Positions (direct):
Rb (0.0000, 0.0000, 0.0000)  12 Hg 3.53-3.67
Na (0.5000, 0.6706, 0.6706)  12 Hg 3.32-3.68
Hg (0.0000, 0.5063, 0.9884)  2 Na 3.32, 6 Hg 3.34-3.54, 2 Rb 3.65-3.66
Hg (0.0000, 0.5104, 0.5104)  2 Na 3.33, 6 Hg 3.35-3.48, 2 Rb 3.67
Hg (0.0000, 0.9884, 0.5063)  2 Na 3.32, 6 Hg 3.34-3.54, 2 Rb 3.65-3.66
Hg (0.5000, 0.1862, 0.1862)  6 Hg 3.25-3.34, 2 Rb 3.54
Hg (0.5000, 0.1893, 0.6293)  6 Hg 3.23-3.35, 2 Rb 3.53
Hg (0.5000, 0.6293, 0.1893)  6 Hg 3.23-3.35, 2 Rb 3.53

VASP calculation (PBE) on an optimized crystal structure of Rb3NaHg4.

Values from the calculation:
Symmetry: C2 (5)
Volume (Å³ per cell): 336.4
DFT total energy (eV per atom): -0.880
Formation enthalpy at 0 K (meV per atom): -202
Size of the total moment (μB per cell): 0.0

Cell lengths 7.8326, 7.8326, 7.5221 Å; angles 112.55, 112.55, 53.86 degrees
With the nearest neighbours (Å) after each atom.
Positions (direct):
Rb (0.0000, 0.0000, 0.0000)  6 Hg 3.79-3.89
Rb (0.5667, 0.0495, 0.3851)  6 Hg 3.70-4.10
Rb (0.9505, 0.4333, 0.6149)  6 Hg 3.70-4.10
Na (0.2823, 0.7177, 0.5000)  4 Hg 3.15-3.16
Hg (0.0159, 0.5143, 0.1744)  2 Hg 3.11-3.12, 1 Na 3.15
Hg (0.4315, 0.4216, 0.0987)  3 Hg 3.01-3.12, 1 Na 3.16
Hg (0.4857, 0.9841, 0.8256)  2 Hg 3.11-3.12, 1 Na 3.15
Hg (0.5784, 0.5685, 0.9013)  3 Hg 3.01-3.12, 1 Na 3.16

VASP calculation (PBE) on an optimized crystal structure of Rb7Na2Hg.

Values from the calculation:
Symmetry: C2/c (15)
Volume (Å³ per cell): 1360.5
DFT total energy (eV per atom): -0.992
Formation enthalpy at 0 K (meV per atom): -21
Size of the total moment (μB per cell): 0.0

Cell lengths 12.3427, 12.3427, 13.6585 Å; angles 122.16, 122.16, 54.78 degrees
With the nearest neighbours (Å) after each atom.
Positions (direct):
Rb (0.0947, 0.9053, 0.7500)  2 Na 4.18, 2 Rb 4.47, 1 Hg 4.53
Rb (0.1169, 0.6139, 0.2025)  1 Hg 3.90, 1 Na 4.34
Rb (0.1941, 0.4213, 0.4740)  1 Hg 3.80, 1 Na 4.21
Rb (0.2536, 0.5810, 0.9064)  2 Hg 3.96-4.34, 1 Na 4.33, 1 Rb 4.38
Rb (0.3861, 0.8831, 0.2975)  1 Hg 3.90, 1 Na 4.34
Rb (0.4190, 0.7464, 0.5936)  2 Hg 3.96-4.34, 1 Na 4.33, 1 Rb 4.38
Rb (0.4213, 0.1941, 0.9740)  1 Hg 3.80, 1 Na 4.21
Rb (0.5787, 0.8059, 0.0260)  1 Hg 3.80, 1 Na 4.21
Rb (0.5810, 0.2536, 0.4064)  2 Hg 3.96-4.34, 1 Na 4.33, 1 Rb 4.38
Rb (0.6139, 0.1169, 0.7025)  1 Hg 3.90, 1 Na 4.34
Rb (0.7464, 0.4190, 0.0936)  2 Hg 3.96-4.34, 1 Na 4.33, 1 Rb 4.38
Rb (0.8059, 0.5787, 0.5260)  1 Hg 3.80, 1 Na 4.21
Rb (0.8831, 0.3861, 0.7975)  1 Hg 3.90, 1 Na 4.34
Rb (0.9053, 0.0947, 0.2500)  2 Na 4.18, 2 Rb 4.47, 1 Hg 4.53
Na (0.1788, 0.1811, 0.6080)  8 Rb 4.18-4.65
Na (0.1811, 0.1788, 0.1080)  8 Rb 4.18-4.65
Na (0.8189, 0.8212, 0.8920)  8 Rb 4.18-4.65
Na (0.8212, 0.8189, 0.3920)  8 Rb 4.18-4.65
Hg (0.4940, 0.5060, 0.7500)  6 Rb 3.80-3.96
Hg (0.5060, 0.4940, 0.2500)  6 Rb 3.80-3.96

VASP calculation (PBE) on an optimized crystal structure of Rb4NaHg2.

Values from the calculation:
Symmetry: P1 (1)
Offset from the most stable computed form (meV per atom): 0
Volume (Å³ per cell): 792.4
DFT total energy (eV per atom): -0.938
Formation enthalpy at 0 K (meV per atom): -111
Size of the total moment (μB per cell): 0.0

Cell lengths 9.1713, 9.1816, 10.6739 Å; angles 73.08, 73.09, 70.67 degrees
With the nearest neighbours (Å) after each atom.
Positions (direct):
Rb (0.0000, 0.0000, 0.0000)  4 Hg 3.85-3.90, 1 Na 4.25
Rb (0.0057, 0.0051, 0.4907)  4 Hg 3.80-3.89
Rb (0.4786, 0.9689, 0.6336)  4 Hg 3.82-4.12, 2 Na 4.07-4.17
Rb (0.4961, 0.9481, 0.1313)  3 Hg 3.81-3.91, 2 Na 3.98-4.08
Rb (0.5176, 0.5171, 0.5038)  3 Hg 3.90-3.93, 2 Na 3.99-4.06
Rb (0.5324, 0.5304, 0.9543)  3 Hg 3.89-3.90, 2 Na 3.89-3.97
Rb (0.9506, 0.4958, 0.1322)  3 Hg 3.82-3.91, 2 Na 3.98-4.10
Rb (0.9706, 0.4782, 0.6322)  4 Hg 3.82-4.13, 2 Na 4.07-4.20
Na (0.3042, 0.3038, 0.8586)  2 Hg 3.24
Na (0.3289, 0.3222, 0.3139)  6 Rb 3.97-4.20
Hg (0.1737, 0.6854, 0.7824)  1 Hg 3.08, 1 Na 3.24
Hg (0.6862, 0.1725, 0.7823)  1 Hg 3.08, 1 Na 3.24
Hg (0.7974, 0.7986, 0.3530)  7 Rb 3.81-3.93
Hg (0.8103, 0.8089, 0.8351)  2 Hg 3.08